# 1
VASP calculation (PBE) on a relaxed NdErAsO crystal.

Lattice parameters (Å, degrees): 4.402 4.402 8.955 90.00 90.00 90.00
Space group P4/nmm (No. 129, origin choice 2)
Inequivalent atoms, fractional coordinates:
Nd 0.250 0.250 0.111 (multiplicity 2)
Er 0.250 0.750 0.500 (multiplicity 2)
As 0.250 0.250 0.695 (multiplicity 2)
O 0.250 0.750 0.000 (multiplicity 2)

Output
Energy above the lowest structure with this stoichiometry in eV/f.u.: 0.25
Total moment in μB/f.u.: 0.0
Crystal system: tetragonal


# 2
VASP calculation (PBE) on a relaxed Cu7Ag3 crystal.

Lattice parameters (Å, degrees): 4.510 13.992 4.506 90.00 105.44 90.00
Space group C2 (No. 5)
Inequivalent atoms, fractional coordinates:
Cu 0.000 0.000 0.000 (multiplicity 2)
Cu 0.000 0.086 0.500 (multiplicity 2)
Cu 0.000 0.179 0.000 (multiplicity 2)
Cu 0.000 0.501 0.500 (multiplicity 2)
Cu 0.000 0.591 0.000 (multiplicity 2)
Cu 0.000 0.679 0.500 (multiplicity 2)
Cu 0.000 0.774 0.000 (multiplicity 2)
Ag 0.000 0.277 0.500 (multiplicity 2)
Ag 0.000 0.394 0.000 (multiplicity 2)
Ag 0.000 0.892 0.500 (multiplicity 2)

Output
Energy above the lowest structure with this stoichiometry in eV/f.u.: 0.36
Calculated formation energy in meV per atom: 81
Crystal system: monoclinic


# 3
VASP calculation (PBE) on a relaxed SrTlCd crystal.

Lattice parameters (Å, degrees): 11.976 5.118 8.058 90.00 132.12 90.00
Space group C2/m (No. 12)
Inequivalent atoms, fractional coordinates:
Sr 0.037 0.000 0.287 (multiplicity 4)
Tl 0.168 0.500 0.720 (multiplicity 4)
Cd 0.160 0.500 0.116 (multiplicity 4)

Output
Uncorrected energy in eV/cell: -24.14
Crystal system: monoclinic